(1)
DFT (PBE) results for a relaxed structure of Cs3KAs.

* relative energy among the computed polymorphs: 0 meV/atom
* total moment: 0.200 μB/atom

Cell: 7.236 7.236 7.236 Å, 90.00 90.00 90.00°
Space group Pm-3m (No. 221)
Asymmetric unit:
Cs (0.000, 0.000, 0.500)
K (0.500, 0.500, 0.500)
As (0.000, 0.000, 0.000)



(2)
DFT (PBE) results for a relaxed structure of Cs6K3As.

* DFT total energy: -1.416 eV/atom
* total moment: 0.000 μB/atom

Cell: 15.3544 15.3544 25.3445 Å, 90.00 90.00 120.00°
Space group R-3m (No. 166, hexagonal axes)
Asymmetric unit:
Cs (0.1061, 0.2121, 0.4167)
Cs (0.1069, 0.2137, 0.0778)
K (0.1058, 0.2115, 0.7576)
As (0.0000, 0.0000, 0.0000)
As (0.0000, 0.0000, 0.5000)



(3)
DFT (PBE) results for a relaxed structure of Cs2K2As.

* relative energy among the computed polymorphs: 0 meV/atom
* total moment: 0.090 μB/atom

Cell: 8.470 10.196 6.619 Å, 90.00 90.00 90.00°
Space group Pbam (No. 55)
Asymmetric unit:
Cs (0.208, 0.083, 0.000)
K (0.171, 0.311, 0.500)
As (0.000, 0.000, 0.500)



(4)
DFT (PBE) results for a relaxed structure of Cs6K12As.

* DFT total energy: -1.229 eV/atom
* total moment: 0.000 μB/atom

Cell: 16.3126 16.3126 21.3024 Å, 90.00 90.00 120.00°
Space group R-3 (No. 148, hexagonal axes)
Asymmetric unit:
Cs (0.0038, 0.8226, 0.1853)
K (0.0169, 0.4249, 0.6844)
K (0.0458, 0.8648, 0.4158)
As (0.0000, 0.0000, 0.5000)



(5)
DFT (PBE) results for a relaxed structure of CsKAs2.

* relative energy among the computed polymorphs: 647 meV/atom
* total moment: 0.000 μB/atom

Cell: 8.221 8.221 8.221 Å, 90.00 90.00 90.00°
Space group Fm-3m (No. 225)
Asymmetric unit:
Cs (0.000, 0.000, 0.000)
K (0.000, 0.000, 0.500)
As (0.250, 0.250, 0.250)



(6)
DFT (PBE) results for a relaxed structure of Cs12K7As.

* DFT total energy: -1.179 eV/atom
* total moment: 0.000 μB/atom

Cell: 22.5492 22.5492 12.5760 Å, 90.00 90.00 120.00°
Space group R-3 (No. 148, hexagonal axes)
Asymmetric unit:
Cs (0.0158, 0.1339, 0.1564)
Cs (0.0666, 0.5607, 0.1742)
K (0.0000, 0.0000, 0.5000)
K (0.0390, 0.2908, 0.8236)
As (0.0000, 0.0000, 0.0000)



(7)
DFT (PBE) results for a relaxed structure of CsKAs3.

* DFT total energy: -2.085 eV/atom
* total moment: 0.000 μB/atom

Cell: 5.943 5.943 5.943 Å, 90.00 90.00 90.00°
Space group Pm-3m (No. 221)
Asymmetric unit:
Cs (0.000, 0.000, 0.000)
K (0.500, 0.500, 0.500)
As (0.000, 0.000, 0.500)



(8)
DFT (PBE) results for a relaxed structure of Cs2K2As3.

* DFT total energy: -2.869 eV/atom
* total moment: 0.000 μB/atom

Cell: 14.084 5.396 7.643 Å, 90.00 119.68 90.00°
Space group C2/m (No. 12)
Asymmetric unit:
Cs (0.137, 0.000, 0.304)
K (0.154, 0.000, 0.796)
As (0.000, 0.500, 0.500)
As (0.062, 0.500, 0.927)



(9)
DFT (PBE) results for a relaxed structure of CsK5As2.

* DFT total energy: -2.225 eV/atom
* total moment: 0.000 μB/atom

Cell: 5.652 10.348 13.001 Å, 90.00 90.00 90.00°
Space group Immm (No. 71)
Asymmetric unit:
Cs (0.000, 0.000, 0.000)
K (0.000, 0.179, 0.307)
K (0.000, 0.500, 0.000)
As (0.000, 0.500, 0.252)



(10)
DFT (PBE) results for a relaxed structure of Cs4KAs4.

* DFT total energy: -2.900 eV/atom
* total moment: 0.342 μB/atom

Cell: 10.741 10.741 7.325 Å, 90.00 90.00 90.00°
Space group P4_2/n (No. 86, origin choice 2)
Asymmetric unit:
Cs (0.053, 0.671, 0.092)
K (0.250, 0.250, 0.250)
As (0.008, 0.403, 0.425)



(11)
DFT (PBE) results for a relaxed structure of CsKLiAs.

* DFT total energy: -2.516 eV/atom
* total moment: 0.000 μB/atom

Cell: 4.8551 4.8551 24.0099 Å, 90.00 90.00 120.00°
Space group R3m (No. 160, hexagonal axes)
Asymmetric unit:
Cs (0.0000, 0.0000, 0.0000)
K (0.0000, 0.0000, 0.1700)
Li (0.0000, 0.0000, 0.4296)
As (0.0000, 0.0000, 0.7623)



(12)
DFT (PBE) results for a relaxed structure of CsKLi2As.

* DFT total energy: -2.303 eV/atom
* total moment: 0.111 μB/atom

Cell: 5.281 5.281 6.456 Å, 90.00 90.00 90.00°
Space group P4/mmm (No. 123)
Asymmetric unit:
Cs (0.000, 0.000, 0.000)
K (0.500, 0.500, 0.000)
Li (0.000, 0.500, 0.500)
As (0.500, 0.500, 0.500)



(13)
DFT (PBE) results for a relaxed structure of Cs2KMgAs2.

* DFT total energy: -2.707 eV/atom
* total moment: 0.163 μB/atom

Cell: 7.892 16.552 7.011 Å, 90.00 90.00 90.00°
Space group Ibam (No. 72)
Asymmetric unit:
Cs (0.232, 0.178, 0.000)
K (0.000, 0.500, 0.250)
Mg (0.000, 0.000, 0.250)
As (0.193, 0.091, 0.500)



(14)
DFT (PBE) results for a relaxed structure of CsK2MgAs.

* DFT total energy: -1.992 eV/atom
* total moment: 0.090 μB/atom

Cell: 6.697 6.697 5.347 Å, 90.00 90.00 90.00°
Space group P4/mmm (No. 123)
Asymmetric unit:
Cs (0.000, 0.000, 0.000)
K (0.000, 0.500, 0.500)
Mg (0.500, 0.500, 0.000)
As (0.500, 0.500, 0.500)



(15)
DFT (PBE) results for a relaxed structure of CsKMnAs2.

* DFT total energy: -4.386 eV/atom
* total moment: 0.644 μB/atom

Cell: 5.785 7.434 7.929 Å, 90.00 90.00 90.00°
Space group Pmma (No. 51)
Asymmetric unit:
Cs (0.250, 0.000, 0.196)
K (0.250, 0.500, 0.384)
Mn (0.000, 0.500, 0.000)
As (0.250, 0.328, 0.802)



(16)
DFT (PBE) results for a relaxed structure of Cs2KAs2O6.

* total moment: 0.094 μB/atom
* ΔE_f (raw): -1.463 eV/atom

Cell: 11.641 6.574 7.678 Å, 90.00 122.10 90.00°
Space group C2/m (No. 12)
Asymmetric unit:
Cs (0.211, 0.000, 0.191)
K (0.000, 0.000, 0.500)
As (0.042, 0.500, 0.201)
O (0.030, 0.281, 0.785)
O (0.214, 0.500, 0.323)



(17)
DFT (PBE) results for a relaxed structure of Cs2KAsO4.

* total moment: 0.020 μB/atom
* ΔE_f (raw): -1.483 eV/atom

Cell: 6.269 12.027 25.300 Å, 90.00 90.00 90.00°
Space group Fddd (No. 70, origin choice 2)
Asymmetric unit:
Cs (0.125, 0.125, 0.314)
K (0.125, 0.125, 0.125)
As (0.125, 0.125, 0.625)
O (0.035, 0.287, 0.837)



(18)
DFT (PBE) results for a relaxed structure of CsK2As2O6.

* total moment: 0.093 μB/atom
* ΔE_f (raw): -1.423 eV/atom

Cell: 6.2908 6.2908 23.5158 Å, 90.00 90.00 120.00°
Space group R-3m (No. 166, hexagonal axes)
Asymmetric unit:
Cs (0.0000, 0.0000, 0.0000)
K (0.0000, 0.0000, 0.1877)
As (0.0000, 0.0000, 0.4446)
O (0.0258, 0.5129, 0.2342)



(19)
DFT (PBE) results for a relaxed structure of CsKAsPd.

* DFT total energy: -3.268 eV/atom
* total moment: 0.001 μB/atom

Cell: 4.3861 4.3861 29.7686 Å, 90.00 90.00 120.00°
Space group R3m (No. 160, hexagonal axes)
Asymmetric unit:
Cs (0.0000, 0.0000, 0.0000)
K (0.0000, 0.0000, 0.8369)
As (0.0000, 0.0000, 0.2458)
Pd (0.0000, 0.0000, 0.5792)



(20)
DFT (PBE) results for a relaxed structure of CsK2As2Pd.

* DFT total energy: -3.260 eV/atom
* total moment: 0.000 μB/atom

Cell: 8.232 12.681 8.607 Å, 90.00 90.00 90.00°
Space group Ibam (No. 72)
Asymmetric unit:
Cs (0.000, 0.000, 0.250)
K (0.142, 0.286, 0.000)
As (0.155, 0.462, 0.500)
Pd (0.000, 0.500, 0.250)